[1]
Computed, not measured: crystalline Ac4Pm10Dy at its relaxed geometry at the PBE-GGA level of DFT.

abc: 8.274 9.283 9.283
angles: 78.54 63.53 63.53
Positions (direct):
Ac1 0.227 0.000 0.546
Ac2 0.773 0.454 0.000
Ac3 0.227 0.546 0.000
Ac4 0.773 0.000 0.454
Pm1 0.250 0.500 0.500
Pm2 0.706 0.207 0.793
Pm3 0.087 0.207 0.207
Pm4 0.501 0.793 0.793
Pm5 0.706 0.793 0.207
Pm6 0.294 0.793 0.207
Pm7 0.750 0.500 0.500
Pm8 0.294 0.207 0.793
Pm9 0.499 0.207 0.207
Pm10 0.913 0.793 0.793
Dy1 0.000 0.000 0.000

## Properties
- DOS(E_F): 1.46 states/eV per atom
- Size of the total moment: 0.0 μB per formula unit
- Energy: -4.33 eV per atom
- DFT formation energy: 0.242 eV/atom

[2]
Computed, not measured: crystalline Ac2Pm2Dy at its relaxed geometry at the PBE-GGA level of DFT.

abc: 6.670 6.670 10.300
angles: 99.55 101.53 115.78
Positions (direct):
Ac1 0.346 0.301 0.152
Ac2 0.149 0.694 0.348
Ac3 0.654 0.699 0.848
Ac4 0.851 0.306 0.652
Pm1 0.770 0.273 0.000
Pm2 0.273 0.270 0.500
Pm3 0.230 0.727 0.000
Pm4 0.727 0.730 0.500
Dy1 0.750 0.000 0.250
Dy2 0.250 0.000 0.750

## Properties
- DOS(E_F): 1.90 states/eV per atom
- Size of the total moment: 0.0 μB per formula unit
- Energy: -4.25 eV per atom
- ΔE to the lowest computed polymorph: 0 meV per atom
- DFT formation energy: 0.216 eV/atom